(1)
Computed, not measured: a PBEsol-optimized structure of ScTaCo2 at the SCAN level of DFT.

**Fermi-level density of states**: 0.54 states/eV per atom

```
data_ScTaCo2
_chemical_formula_sum 'Sc2 Ta2 Co4'
_cell_length_a 3.2497
_cell_length_b 3.9306
_cell_length_c 8.8998
_cell_angle_alpha 90.00
_cell_angle_beta 90.00
_cell_angle_gamma 90.00
_space_group_name_H-M_alt 'I m m 2'
_space_group_IT_number 44
_space_group_name_Hall 'I 2 -2'
loop_
_atom_site_label
_atom_site_type_symbol
_atom_site_fract_x
_atom_site_fract_y
_atom_site_fract_z
_atom_site_occupancy
Sc1 Sc 0.0000 0.0000 0.0000 1
Ta1 Ta 0.0000 0.5000 0.7604 1
Co1 Co 0.0000 0.0000 0.4858 1
Co2 Co 0.0000 0.5000 0.2518 1
```


(2)
Computed, not measured: a PBEsol-optimized structure of CdBS3 at the SCAN level of DFT.

**E_form (uncorrected)**: 559 meV per atom
**Fermi-level density of states**: 0.60 states/eV per atom

```
data_CdBS3
_chemical_formula_sum 'Cd1 B1 S3'
_cell_length_a 4.2263
_cell_length_b 4.2263
_cell_length_c 4.2263
_cell_angle_alpha 90.00
_cell_angle_beta 90.00
_cell_angle_gamma 90.00
_space_group_name_H-M_alt 'P m -3 m'
_space_group_IT_number 221
_space_group_name_Hall '-P 4 2 3'
loop_
_atom_site_label
_atom_site_type_symbol
_atom_site_fract_x
_atom_site_fract_y
_atom_site_fract_z
_atom_site_occupancy
Cd1 Cd 0.0000 0.0000 0.0000 1
B1 B 0.5000 0.5000 0.5000 1
S1 S 0.0000 0.5000 0.5000 1
```


(3)
Computed, not measured: a PBEsol-optimized structure of MnSn3P4O16 at the SCAN level of DFT.

**E_form (uncorrected)**: -2120 meV per atom

```
data_MnSn3P4O16
_chemical_formula_sum 'Mn1 Sn3 P4 O16'
_cell_length_a 5.0473
_cell_length_b 6.0740
_cell_length_c 10.2943
_cell_angle_alpha 90.00
_cell_angle_beta 90.72
_cell_angle_gamma 90.00
_space_group_name_H-M_alt 'P 1 m 1'
_space_group_IT_number 6
_space_group_name_Hall 'P -2y'
loop_
_atom_site_label
_atom_site_type_symbol
_atom_site_fract_x
_atom_site_fract_y
_atom_site_fract_z
_atom_site_occupancy
Mn1 Mn 0.0000 0.0000 0.0000 1
Sn1 Sn 0.3566 0.0000 0.4862 1
Sn2 Sn 0.4993 0.5000 0.0609 1
Sn3 Sn 0.8653 0.5000 0.5554 1
P1 P 0.0630 0.5000 0.8868 1
P2 P 0.3351 0.5000 0.3501 1
P3 P 0.5332 0.0000 0.1846 1
P4 P 0.7742 0.0000 0.6757 1
O1 O 0.0492 0.0000 0.6112 1
O2 O 0.1108 0.5000 0.7437 1
O3 O 0.2042 0.2969 0.4205 1
O4 O 0.2081 0.3022 0.9582 1
O5 O 0.2372 0.0000 0.1642 1
O6 O 0.2365 0.5000 0.2072 1
O7 O 0.5991 0.1938 0.6151 1
O8 O 0.6089 0.0000 0.3320 1
O9 O 0.6327 0.5000 0.3577 1
O10 O 0.6765 0.2000 0.1160 1
O11 O 0.7617 0.5000 0.9149 1
O12 O 0.8002 0.0000 0.8211 1
```


(4)
Computed, not measured: a PBEsol-optimized structure of NiSbMo3 at the SCAN level of DFT.

**E_form (uncorrected)**: 1198 meV per atom
**Fermi-level density of states**: 1.31 states/eV per atom

```
data_NiSbMo3
_chemical_formula_sum 'Ni1 Sb1 Mo3'
_cell_length_a 4.4599
_cell_length_b 4.4599
_cell_length_c 4.4599
_cell_angle_alpha 90.00
_cell_angle_beta 90.00
_cell_angle_gamma 90.00
_space_group_name_H-M_alt 'P m -3 m'
_space_group_IT_number 221
_space_group_name_Hall '-P 4 2 3'
loop_
_atom_site_label
_atom_site_type_symbol
_atom_site_fract_x
_atom_site_fract_y
_atom_site_fract_z
_atom_site_occupancy
Ni1 Ni 0.0000 0.0000 0.0000 1
Sb1 Sb 0.5000 0.5000 0.5000 1
Mo1 Mo 0.0000 0.0000 0.5000 1
```


(5)
Computed, not measured: a PBEsol-optimized structure of CaBe2P2 at the SCAN level of DFT.

**Energy relative to the lowest polymorph listed for this composition**: 0 meV per atom

```
data_CaBe2P2
_chemical_formula_sum 'Ca1 Be2 P2'
_cell_length_a 3.7152
_cell_length_b 3.7152
_cell_length_c 6.5467
_cell_angle_alpha 90.00
_cell_angle_beta 90.00
_cell_angle_gamma 120.00
_space_group_name_H-M_alt 'P -3 m 1'
_space_group_IT_number 164
_space_group_name_Hall '-P 3 2"'
loop_
_atom_site_label
_atom_site_type_symbol
_atom_site_fract_x
_atom_site_fract_y
_atom_site_fract_z
_atom_site_occupancy
Ca1 Ca 0.0000 0.0000 0.0000 1
Be1 Be 0.3333 0.6667 0.6234 1
P1 P 0.3333 0.6667 0.2832 1
```


(6)
Computed, not measured: a PBEsol-optimized structure of GeTe3Se at the SCAN level of DFT.

**E_form (uncorrected)**: 727 meV per atom
**Fermi-level density of states**: 1.14 states/eV per atom

```
data_GeTe3Se
_chemical_formula_sum 'Ge1 Te3 Se1'
_cell_length_a 5.2681
_cell_length_b 5.2681
_cell_length_c 5.2681
_cell_angle_alpha 90.00
_cell_angle_beta 90.00
_cell_angle_gamma 90.00
_space_group_name_H-M_alt 'P m -3 m'
_space_group_IT_number 221
_space_group_name_Hall '-P 4 2 3'
loop_
_atom_site_label
_atom_site_type_symbol
_atom_site_fract_x
_atom_site_fract_y
_atom_site_fract_z
_atom_site_occupancy
Ge1 Ge 0.0000 0.0000 0.0000 1
Te1 Te 0.0000 0.0000 0.5000 1
Se1 Se 0.5000 0.5000 0.5000 1
```


(7)
Computed, not measured: a PBEsol-optimized structure of LiP2Rh at the SCAN level of DFT.

**Fermi-level density of states**: 0.40 states/eV per atom
**Energy relative to the lowest polymorph listed for this composition**: 244 meV per atom

```
data_LiP2Rh
_chemical_formula_sum 'Li1 P2 Rh1'
_cell_length_a 3.7996
_cell_length_b 3.7996
_cell_length_c 3.4866
_cell_angle_alpha 90.00
_cell_angle_beta 90.00
_cell_angle_gamma 90.00
_space_group_name_H-M_alt 'P 4/m m m'
_space_group_IT_number 123
_space_group_name_Hall '-P 4 2'
loop_
_atom_site_label
_atom_site_type_symbol
_atom_site_fract_x
_atom_site_fract_y
_atom_site_fract_z
_atom_site_occupancy
Li1 Li 0.0000 0.0000 0.0000 1
P1 P 0.0000 0.5000 0.5000 1
Rh1 Rh 0.5000 0.5000 0.0000 1
```


(8)
Computed, not measured: a PBEsol-optimized structure of SiRu2W at the SCAN level of DFT.

**E_form (uncorrected)**: 7 meV per atom
**Fermi-level density of states**: 0.64 states/eV per atom

```
data_SiRu2W
_chemical_formula_sum 'Si3 Ru6 W3'
_cell_length_a 2.7446
_cell_length_b 2.7446
_cell_length_c 25.2730
_cell_angle_alpha 90.00
_cell_angle_beta 90.00
_cell_angle_gamma 120.00
_space_group_name_H-M_alt 'R 3 m'
_space_group_IT_number 160
_space_group_name_Hall 'R 3 -2"'
loop_
_atom_site_label
_atom_site_type_symbol
_atom_site_fract_x
_atom_site_fract_y
_atom_site_fract_z
_atom_site_occupancy
Si1 Si 0.0000 0.0000 0.0000 1
Ru1 Ru 0.0000 0.0000 0.2579 1
Ru2 Ru 0.0000 0.0000 0.5046 1
W1 W 0.0000 0.0000 0.7523 1
```


| no. | energy (eV per atom) | total magnetization (μB per formula unit) |
| --- | --- | --- |
| 1 | -28.8096 | 0.00 |
| 2 | -12.7870 | 0.00 |
| 3 | -13.2579 | 5.00 |
| 4 | -30.4195 | 0.00 |
| 5 | -8.6977 | 0.00 |
| 6 | -29.4569 | 0.00 |
| 7 | -14.4735 | 0.00 |
| 8 | -37.3323 | 0.00 |